Record 1
20
Lattice="6.2396 3.6024 5.0779 -6.2396 3.6024 5.0779 0.0000 -7.2049 5.0779" Properties=species:S:1:pos:R:3 comment="Nd12Dy7Th | the Alexandria database | PBE-GGA | optimized geometry" relative_energy_kj_per_mol_atoms=0.0 total_energy_ry_per_atom=-0.33963 formation_energy_kj_per_mol_fu=427.5 pbc="T T T"
Nd -0.7392 -4.2124 3.9197
Nd -3.2785 2.7464 3.9197
Nd -3.3732 -0.9445 8.1787
Nd -0.8686 -3.3935 7.0550
Nd -4.0177 -1.4660 11.3141
Nd -2.5046 2.4490 7.0550
Nd 2.5046 -2.4490 8.1787
Nd 4.0177 1.4660 3.9197
Nd 0.8686 3.3935 8.1787
Nd 3.3732 0.9445 7.0550
Nd 3.2785 -2.7464 11.3141
Nd 0.7392 4.2124 11.3141
Dy 0.0000 0.0000 0.0000
Dy -1.9995 -0.4885 4.6303
Dy 1.4227 -1.4874 4.6303
Dy 0.5767 1.9758 4.6303
Dy -0.5767 -1.9758 10.6034
Dy -1.4227 1.4873 10.6034
Dy 1.9995 0.4884 10.6034
Th 0.0000 0.0000 7.6169

***

Record 2
11
Lattice="-1.7545 3.8660 14.2471 1.7545 -3.8660 14.2471 1.7545 3.8660 -14.2471" Properties=species:S:1:pos:R:3 comment="Nd5Dy4Th2 | the Alexandria database | PBE-GGA | optimized geometry" relative_energy_kj_per_mol_atoms=26.3 total_energy_ry_per_atom=-0.35231 formation_energy_kj_per_mol_fu=420.7 pbc="T T T"
Nd 0.0000 0.0000 0.0000
Nd 1.7545 1.9856 -5.5661
Nd 1.7545 1.9856 5.5661
Nd 0.0000 1.8803 8.6809
Nd 0.0000 1.8803 19.8132
Dy 1.7545 2.4876 0.0000
Dy 1.7545 0.0000 11.3705
Dy 0.0000 3.8660 2.8765
Dy 0.0000 1.3783 14.2471
Th 1.7545 0.0000 2.8874
Th 0.0000 3.8660 11.3597

***

Record 3
11
Lattice="9.1060 -2.5292 0.0000 9.1060 2.5292 0.0000 -2.0892 0.0000 7.7070" Properties=species:S:1:pos:R:3 comment="Nd2Dy8Th | the Alexandria database | PBE-GGA | optimized geometry" total_energy_ry_per_atom=-0.35737 formation_energy_kj_per_mol_fu=27.7 pbc="T T T"
Nd 3.8676 0.0000 1.0515
Nd 12.2551 0.0000 6.6555
Dy 0.3178 0.0000 1.7897
Dy 1.0274 0.0000 5.2145
Dy 4.5962 0.0000 4.5693
Dy 7.3793 0.0000 0.3777
Dy 8.7435 0.0000 7.3293
Dy 11.5266 0.0000 3.1377
Dy 15.0954 0.0000 2.4925
Dy 15.8050 0.0000 5.9173
Th 8.0614 0.0000 3.8535

***

Record 4
12
Lattice="4.4270 -7.2879 0.0000 4.4270 7.2879 0.0000 -2.2524 0.0000 6.2380" Properties=species:S:1:pos:R:3 comment="NdDy4Th | the Alexandria database | PBE-GGA | optimized geometry" relative_energy_kj_per_mol_atoms=12.5 total_energy_ry_per_atom=-0.36333 formation_energy_kj_per_mol_fu=90.3 pbc="T T T"
Nd 2.7378 6.0132 4.6785
Nd 3.8640 -6.0132 1.5595
Dy -0.1669 1.8771 5.4583
Dy 2.5641 2.8034 2.9105
Dy 0.9593 -1.8771 2.3393
Dy 5.1638 2.8034 0.2085
Dy 1.4379 -2.8034 6.0295
Dy 5.6424 1.8771 3.8987
Dy 4.0377 -2.8034 3.3274
Dy 6.7686 -1.8771 0.7797
Th 3.8640 0.0154 1.5595
Th 2.7378 -0.0154 4.6785

***

Record 5
20
Lattice="3.5013 0.0000 0.0000 -0.0045 13.1780 0.0000 -0.0078 -1.8520 14.1571" Properties=species:S:1:pos:R:3 comment="NdDy6Th3 | the Alexandria database | PBE-GGA | optimized geometry" total_energy_ry_per_atom=-0.39361 formation_energy_kj_per_mol_fu=104.8 pbc="T T T"
Nd 0.8698 1.7003 5.5645
Nd 2.6191 9.6257 8.5926
Dy 0.8702 1.6458 0.3010
Dy 0.8682 1.7696 11.2660
Dy 0.8686 6.2723 8.4766
Dy 0.8657 6.3462 14.1516
Dy 0.8669 11.4472 5.6123
Dy 0.8679 8.0661 11.2996
Dy 2.6211 3.2598 2.8575
Dy 2.6221 -0.1213 8.5448
Dy 2.6233 4.9797 0.0055
Dy 2.6204 5.0536 5.6805
Dy 2.6208 9.5563 2.8911
Dy 2.6187 9.6802 13.8561
Th 0.8708 6.2969 2.8387
Th 0.8696 8.1385 5.6162
Th 0.8699 11.4836 11.2310
Th 2.6191 -0.1577 2.9261
Th 2.6194 3.1875 8.5409
Th 2.6181 5.0290 11.3184

***

Record 6
19
Lattice="9.0833 -4.5851 0.0000 9.0833 4.5851 0.0000 -3.0470 0.0000 8.0513" Properties=species:S:1:pos:R:3 comment="Nd12Dy5Th2 | the Alexandria database | PBE-GGA | optimized geometry" relative_energy_kj_per_mol_atoms=8.6 total_energy_ry_per_atom=-0.35012 formation_energy_kj_per_mol_fu=439.4 pbc="T T T"
Nd 0.0138 0.0000 1.6063
Nd 6.2740 2.1399 0.3241
Nd 4.5735 1.7072 4.9755
Nd 8.8457 2.1399 7.7272
Nd 6.9939 0.0000 2.6481
Nd 10.5462 1.7072 3.0758
Nd 4.5735 -1.7072 4.9755
Nd 8.1258 0.0000 5.4033
Nd 6.2740 -2.1399 0.3241
Nd 10.5462 -1.7072 3.0758
Nd 8.8457 -2.1399 7.7272
Nd 15.1060 0.0000 6.4451
Dy 1.4379 0.0000 5.5373
Dy 3.5489 0.0000 2.0281
Dy 9.0833 0.0000 0.0000
Dy 11.5708 0.0000 6.0233
Dy 13.6819 0.0000 2.5141
Th 7.5599 3.0132 4.0257
Th 7.5599 -3.0132 4.0257

***

Record 7
8
Lattice="-1.7655 5.6045 6.6333 1.7655 -5.6045 6.6333 1.7655 5.6045 -6.6333" Properties=species:S:1:pos:R:3 comment="NdDy5Th2 | the Alexandria database | PBE-GGA | optimized geometry" total_energy_ry_per_atom=-0.38442 formation_energy_kj_per_mol_fu=74.9 pbc="T T T"
Nd 0.0000 0.0000 0.0000
Dy 1.7655 3.0365 -1.7439
Dy 1.7655 3.0365 1.7439
Dy 0.0000 5.6045 0.0000
Dy 0.0000 2.5680 4.8894
Dy 0.0000 2.5680 8.3772
Th 1.7655 0.0000 3.1702
Th 0.0000 5.6045 3.4631

***

Record 8
29
Lattice="0.0000 7.8748 7.8748 7.8748 0.0000 7.8748 7.8748 7.8748 0.0000" Properties=species:S:1:pos:R:3 comment="Nd7Dy16Th6 | the Alexandria database | PBE-GGA | optimized geometry" total_energy_ry_per_atom=-0.36002 formation_energy_kj_per_mol_fu=914.4 pbc="T T T"
Nd 0.0000 0.0000 0.0000
Nd 3.9374 3.9374 0.0000
Nd 3.9374 0.0000 3.9374
Nd 7.8748 3.9374 3.9374
Nd 0.0000 3.9374 3.9374
Nd 3.9374 7.8748 3.9374
Nd 3.9374 3.9374 7.8748
Dy 10.3650 5.3846 5.3846
Dy 1.9109 1.9109 1.9109
Dy 5.9639 5.9639 1.9109
Dy 5.9639 1.9109 5.9639
Dy 5.3846 5.3846 5.3846
Dy 10.3650 10.3650 5.3846
Dy 10.3650 5.3846 10.3650
Dy 13.8388 9.7857 9.7857
Dy 1.9109 5.9639 5.9639
Dy 5.3846 10.3650 5.3846
Dy 5.3846 5.3846 10.3650
Dy 10.3650 10.3650 10.3650
Dy 9.7857 13.8388 9.7857
Dy 9.7857 9.7857 13.8388
Dy 13.8388 13.8388 13.8388
Dy 5.3846 10.3650 10.3650
Th 7.8748 7.8748 5.2134
Th 7.8748 5.2134 7.8748
Th 10.5362 7.8748 7.8748
Th 5.2134 7.8748 7.8748
Th 7.8748 10.5362 7.8748
Th 7.8748 7.8748 10.5362